# TaAsIr2 (PBE, optimized geometry)
data_TaAsIr2
_cell_length_a 2.920
_cell_length_b 4.107
_cell_length_c 5.397
_cell_angle_alpha 90.00
_cell_angle_beta 90.00
_cell_angle_gamma 90.00
_space_group_name_H-M_alt 'P 1'
_space_group_IT_number 1
loop_
_space_group_symop_operation_xyz
'x,y,z'
loop_
_atom_site_label
_atom_site_fract_x
_atom_site_fract_y
_atom_site_fract_z
_atom_site_occupancy
Ta1 0.000 0.000 0.000 1
As1 0.500 0.500 0.329 1
Ir1 0.000 0.000 0.483 1
Ir2 0.500 0.500 0.803 1
# Fermi-level density of states	2.52	states/eV/f.u.
# energy relative to the elements	-0.098	eV/atom
# electronic total energy	-8.654	eV per atom